VASP calculation (PBE) on a relaxed structure of CaCuI2.

Lattice parameters (Å, degrees): 6.847 6.847 12.623 90.00 90.00 90.00
Space group I-42d (No. 122)
Inequivalent atoms, fractional coordinates:
Ca  0.000  0.000  0.000
Cu  0.000  0.000  0.500
I  0.196  0.250  0.625

**Total magnetization**: 3.2 μB/cell
**Uncorrected formation energy**: -0.4055 eV per atom
**Mass density**: 4.0 g/cm3
**ΔE to the lowest computed polymorph**: 36 meV per atom